Version i
DFT (PBE-GGA) results for a relaxed structure of TlAu2F.

Computed properties:
**SG**: Fm-3m (225)

Geometry as POSCAR:
```
TlAu2F
1.0
-3.778 1.182 2.593
-3.948 1.513 -2.125
-3.857 -2.740 -0.053
F Au Tl
1 2 1
Direct
0.000 0.000 0.000
0.250 0.250 0.250
0.750 0.750 0.750
0.500 0.500 0.500
```



Version ii
DFT (PBE-GGA) results for a relaxed structure of TlAu2F.

Computed properties:
**SG**: I-42d (122)

Geometry as POSCAR:
```
TlAu2F
1.0
7.748 0.000 0.000
0.000 7.748 0.000
3.874 3.874 2.672
Tl Au F
2 4 2
Direct
0.750 0.250 0.500
0.000 0.000 0.000
0.375 0.401 0.750
0.599 0.125 0.250
0.151 0.625 0.250
0.875 0.849 0.750
0.250 0.750 0.500
0.500 0.500 0.000
```



version ii is the most stable structure shown above.